A plane-wave DFT calculation with GGA-PBE was carried out for a geometry-optimized Nd4PtPb structure.

```
Nd4PtPb
1.0
6.007 0.000 -2.062
0.000 7.032 0.000
-0.260 0.000 8.983
Nd Pt Pb
8 2 2
direct
0.578 0.250 0.419
0.422 0.750 0.581
0.602 0.250 0.874
0.398 0.750 0.126
0.984 0.002 0.280
0.016 0.502 0.720
0.984 0.498 0.280
0.016 0.998 0.720
0.240 0.250 0.560
0.760 0.750 0.440
0.229 0.250 0.056
0.771 0.750 0.944
```

Properties
Theoretical density ... 8.657 g cm⁻³
Crystal system ... monoclinic
Offset from the most stable computed form ... 0.000 eV/atom

A plane-wave DFT calculation with GGA-PBE was carried out for a geometry-optimized Nd2PtPb structure.

```
Nd2PtPb
1.0
-0.541 -0.438 4.038
-3.494 -1.585 1.439
1.973 -8.341 1.440
Pb Nd Pt
1 2 1
direct
0.500 0.500 0.500
0.265 0.265 0.204
0.735 0.735 0.796
0.000 0.000 0.000
```

Properties
Theoretical density ... 9.432 g cm⁻³
Crystal system ... trigonal
E ... -5.53 eV per atom

A plane-wave DFT calculation with GGA-PBE was carried out for a geometry-optimized NdPt8Pb3 structure.

```
NdPt8Pb3
1.0
-3.606 1.694 3.820
-1.630 -3.432 -4.004
2.151 -7.026 5.147
Nd Pt Pb
1 8 3
direct
0.000 0.000 0.573
0.333 0.667 0.500
0.333 0.667 0.997
0.502 0.003 0.746
0.502 0.498 0.746
0.997 0.498 0.746
0.166 0.331 0.254
0.166 0.834 0.254
0.669 0.834 0.254
0.667 0.333 0.424
0.667 0.333 0.051
0.000 0.000 0.956
```

Properties
Theoretical density ... 16.323 g cm⁻³
Crystal system ... trigonal
E ... -5.73 eV per atom

A plane-wave DFT calculation with GGA-PBE was carried out for a geometry-optimized NdPt2Pb2 structure.

```
NdPt2Pb2
1.0
-2.365 -1.667 -3.947
4.345 -0.968 -2.195
-0.437 -9.455 4.254
Nd Pt Pb
2 4 4
direct
0.750 0.210 0.669
0.250 0.790 0.331
0.250 0.309 0.476
0.750 0.761 0.160
0.250 0.239 0.840
0.750 0.691 0.524
0.750 0.255 0.006
0.250 0.737 0.676
0.250 0.745 0.994
0.750 0.263 0.324
```

Properties
Theoretical density ... 12.511 g cm⁻³
Crystal system ... monoclinic
E ... -5.44 eV per atom

A plane-wave DFT calculation with GGA-PBE was carried out for a geometry-optimized NdPt2Pb structure.

```
NdPt2Pb
1.0
3.716 0.000 0.000
0.000 4.887 0.000
0.000 0.000 4.887
Pb Nd Pt
1 1 2
direct
0.500 0.000 0.000
0.500 0.500 0.500
0.000 0.000 0.500
0.000 0.500 0.000
```

Properties
Theoretical density ... 13.876 g cm⁻³
Crystal system ... tetragonal
E ... -5.76 eV per atom

A plane-wave DFT calculation with GGA-PBE was carried out for a geometry-optimized NdPtRhPb structure.

```
NdPtRhPb
1.0
-2.957 -2.652 2.910
-3.958 -2.236 -1.893
-0.098 -4.907 -0.404
Pb Rh Nd Pt
1 1 1 1
direct
0.000 0.000 0.000
0.250 0.250 0.250
0.500 0.500 0.500
0.750 0.750 0.750
```

Properties
Theoretical density ... 12.773 g cm⁻³
Crystal system ... cubic
E ... -5.98 eV per atom

A plane-wave DFT calculation with GGA-PBE was carried out for a geometry-optimized TbNdPtPb structure.

```
TbNdPtPb
1.0
-2.545 -4.421 1.372
1.053 -2.327 4.624
-3.576 0.109 3.886
Pb Nd Tb Pt
1 1 1 1
direct
0.250 0.250 0.250
0.500 0.500 0.500
0.000 0.000 0.000
0.750 0.750 0.750
```

Properties
Theoretical density ... 11.239 g cm⁻³
Crystal system ... cubic
E ... -5.48 eV per atom

A plane-wave DFT calculation with GGA-PBE was carried out for a geometry-optimized NdTmPtPb structure.

```
NdTmPtPb
1.0
-3.731 1.215 -3.478
-2.965 -3.784 -2.093
-5.056 -0.406 1.329
Pb Tm Nd Pt
1 1 1 1
direct
0.000 0.000 0.000
0.750 0.750 0.750
0.250 0.250 0.250
0.500 0.500 0.500
```

Properties
Theoretical density ... 11.653 g cm⁻³
Crystal system ... cubic
E ... -5.44 eV per atom

A plane-wave DFT calculation with GGA-PBE was carried out for a geometry-optimized NdYPtPb structure.

```
NdYPtPb
1.0
5.277 0.000 0.000
2.639 4.570 0.000
2.639 1.523 4.309
Pb Y Nd Pt
1 1 1 1
direct
0.500 0.500 0.500
0.750 0.750 0.750
0.250 0.250 0.250
0.000 0.000 0.000
```

Properties
Theoretical density ... 10.153 g cm⁻³
Crystal system ... cubic
E ... -5.95 eV per atom

A plane-wave DFT calculation with GGA-PBE was carried out for a geometry-optimized NdZnPtPb structure.

```
NdZnPtPb
1.0
-2.411 3.068 -3.144
-4.748 1.309 0.925
-1.078 4.687 1.407
Pb Zn Nd Pt
1 1 1 1
direct
0.500 0.500 0.500
0.250 0.250 0.250
0.000 0.000 0.000
0.750 0.750 0.750
```

Properties
Theoretical density ... 11.418 g cm⁻³
Crystal system ... cubic
E ... -4.48 eV per atom

A plane-wave DFT calculation with GGA-PBE was carried out for a geometry-optimized NdPuPb2 structure.

```
NdPuPb2
1.0
4.609 0.000 0.000
0.000 5.046 0.000
0.000 0.000 5.046
Pb Nd Pu
2 1 1
direct
0.000 0.000 0.500
0.000 0.500 0.000
0.500 0.000 0.000
0.500 0.500 0.500
```

Properties
Theoretical density ... 11.356 g cm⁻³
Crystal system ... tetragonal
E ... -6.94 eV per atom

A plane-wave DFT calculation with GGA-PBE was carried out for a geometry-optimized NdPuPb2 structure.

```
NdPuPb2
1.0
-2.900 1.647 -1.180
-1.188 0.285 3.320
4.309 8.189 0.840
Pb Nd Pu
2 1 1
direct
0.000 0.000 0.753
0.000 0.000 0.247
0.500 0.500 0.500
0.500 0.500 0.000
```

Properties
Theoretical density ... 11.462 g cm⁻³
Crystal system ... tetragonal
E ... -6.97 eV per atom

A plane-wave DFT calculation with GGA-PBE was carried out for a geometry-optimized NdPu4Pb5 structure.

```
NdPu4Pb5
1.0
4.172 0.000 0.000
0.000 4.172 0.000
0.000 0.000 16.511
Nd Pu Pb
1 4 5
direct
0.000 0.000 0.000
0.000 0.000 0.209
0.000 0.000 0.404
0.000 0.000 0.596
0.000 0.000 0.791
0.500 0.500 0.103
0.500 0.500 0.304
0.500 0.500 0.500
0.500 0.500 0.696
0.500 0.500 0.897
```

Properties
Theoretical density ... 12.459 g cm⁻³
Crystal system ... tetragonal
E ... -8.26 eV per atom

A plane-wave DFT calculation with GGA-PBE was carried out for a geometry-optimized NdPu3Pb4 structure.

```
NdPu3Pb4
1.0
4.695 0.000 0.000
0.000 4.918 0.000
0.000 0.000 9.907
Pb Nd Pu
4 1 3
direct
0.000 0.000 0.500
0.000 0.500 0.749
0.000 0.000 0.000
0.000 0.500 0.251
0.500 0.500 0.000
0.500 0.000 0.262
0.500 0.500 0.500
0.500 0.000 0.738
```

Properties
Theoretical density ... 12.377 g cm⁻³
Crystal system ... orthorhombic
E ... -8.07 eV per atom

A plane-wave DFT calculation with GGA-PBE was carried out for a geometry-optimized NdPuPb structure.

```
NdPuPb
1.0
-3.484 0.554 0.372
-0.476 -0.676 -3.450
1.012 -7.057 3.067
Pb Nd Pu
1 1 1
direct
0.285 0.285 0.571
0.625 0.625 0.250
0.939 0.939 0.879
```

Properties
Theoretical density ... 10.696 g cm⁻³
Crystal system ... tetragonal
Offset from the most stable computed form ... 0.219 eV/atom

A plane-wave DFT calculation with GGA-PBE was carried out for a geometry-optimized NdPuPb structure.

```
NdPuPb
1.0
-2.835 -1.174 -1.425
2.878 -1.816 -4.229
-0.830 -3.211 4.297
Pb Nd Pu
1 1 1
direct
0.666 0.667 0.333
0.166 0.333 0.667
0.168 0.000 0.000
```

Properties
Theoretical density ... 11.451 g cm⁻³
Crystal system ... trigonal
Offset from the most stable computed form ... 0.289 eV/atom

A plane-wave DFT calculation with GGA-PBE was carried out for a geometry-optimized NdPuPb structure.

```
NdPuPb
1.0
-1.384 -5.284 -1.402
0.143 1.532 5.426
-6.249 1.723 -0.321
Nd Pu Pb
2 2 2
direct
0.333 0.167 0.750
0.667 0.833 0.250
0.000 0.500 0.000
0.000 0.500 0.500
0.667 0.833 0.750
0.333 0.167 0.250
```

Properties
Theoretical density ... 11.061 g cm⁻³
Crystal system ... hexagonal
Offset from the most stable computed form ... 0.000 eV/atom

A plane-wave DFT calculation with GGA-PBE was carried out for a geometry-optimized NdPu2Pb3 structure.

```
NdPu2Pb3
1.0
-1.879 1.139 2.725
-2.939 -1.041 -1.592
1.172 -12.589 6.068
Nd Pu Pb
1 2 3
direct
0.500 0.500 0.500
0.500 0.500 0.835
0.500 0.500 0.165
0.000 0.000 0.000
0.000 0.000 0.669
0.000 0.000 0.331
```

Properties
Theoretical density ... 12.114 g cm⁻³
Crystal system ... tetragonal
E ... -7.71 eV per atom

A plane-wave DFT calculation with GGA-PBE was carried out for a geometry-optimized Nd2PuPb9 structure.

```
Nd2PuPb9
1.0
-1.477 -4.403 -1.589
2.171 0.832 -4.322
12.431 -6.007 5.087
Nd Pu Pb
2 1 9
direct
0.000 0.000 0.331
0.000 0.000 0.669
0.000 0.000 0.000
0.500 0.500 0.000
0.500 0.500 0.332
0.500 0.500 0.668
0.500 0.000 0.163
0.500 0.000 0.500
0.500 0.000 0.837
0.000 0.500 0.163
0.000 0.500 0.500
0.000 0.500 0.837
```

Properties
Theoretical density ... 11.231 g cm⁻³
Crystal system ... tetragonal
E ... -5.08 eV per atom

A plane-wave DFT calculation with GGA-PBE was carried out for a geometry-optimized Nd2PuPb3 structure.

```
Nd2PuPb3
1.0
4.549 0.000 0.000
0.000 6.437 0.000
-2.274 -3.218 6.876
Nd Pu Pb
2 1 3
direct
0.670 0.170 0.340
0.330 0.830 0.660
0.000 0.500 0.000
0.339 0.339 0.678
0.000 0.000 0.000
0.661 0.661 0.322
```

Properties
Theoretical density ... 9.520 g cm⁻³
Crystal system ... orthorhombic
E ... -6.04 eV per atom